VASP calculation (SCAN) on a PBEsol-optimized structure of SrSi3Br.

Cell: 5.0319 5.0319 5.0319 Å, 90.00 90.00 90.00°
Last column: nearest neighbours and their distance in Å.
Sites, in units of the cell vectors:
Sr: 0.5000 0.5000 0.5000  12 Si 3.56
Si: 0.0000 0.5000 0.0000  2 Br 2.52
Si: 0.0000 0.0000 0.5000  2 Br 2.52
Si: 0.5000 0.0000 0.0000  2 Br 2.52
Br: 0.0000 0.0000 0.0000  6 Si 2.52

## Properties
Its space-group type is Pm-3m, No. 221. The value obtained for the total moment is 0.000 μB/f.u. The value obtained for the volume is 25.48 A^3/atom. The energy relative to the elements, uncorrected is 0.873 eV/atom. The calculated density comes out at 3.28 g/cm³. For the total energy, the calculation gives -67.415 eV/cell.


VASP calculation (SCAN) on a PBEsol-optimized structure of SrSiBr2.

Cell: 3.8787 4.5081 5.9947 Å, 89.99 90.00 90.00°
Last column: nearest neighbours and their distance in Å.
Sites, in units of the cell vectors:
Br: 0.0000 0.0000 0.0000  4 Si 2.97
Br: 0.5000 0.0000 0.5000  4 Sr 2.97
Si: 0.5000 0.5000 0.0000  4 Br 2.97
Sr: 0.0000 0.5000 0.5000  4 Br 2.97

## Properties
Its space-group type is Pmmm, No. 47. The value obtained for the total moment is 0.000 μB/f.u. The value obtained for the volume is 26.21 A^3/atom. The energy relative to the lowest polymorph listed for this composition comes out at 0 meV/atom. The energy relative to the elements, uncorrected is -0.751 eV/atom. The calculated density comes out at 4.36 g/cm³. For the total energy, the calculation gives -74.213 eV/cell.


VASP calculation (SCAN) on a PBEsol-optimized structure of SrSiBr2.

Cell: 4.3532 4.3532 9.0350 Å, 76.06 76.06 60.00°
Last column: nearest neighbours and their distance in Å.
Sites, in units of the cell vectors:
Sr: 0.0000 0.0000 0.0000  2 Br 3.02
Si: 0.5000 0.5000 0.5000  6 Br 2.84
Br: 0.8840 0.8840 0.3481  3 Si 2.84, 1 Sr 3.02
Br: 0.1160 0.1160 0.6519  3 Si 2.84, 1 Sr 3.02

## Properties
Its space-group type is R-3m, No. 166. The value obtained for the total moment is 0.000 μB/f.u. The value obtained for the volume is 35.61 A^3/atom. The energy relative to the lowest polymorph listed for this composition comes out at 573 meV/atom. The energy relative to the elements, uncorrected is -0.178 eV/atom. The calculated density comes out at 3.21 g/cm³. For the total energy, the calculation gives -71.922 eV/cell.


VASP calculation (SCAN) on a PBEsol-optimized structure of TaSiBr2.

Cell: 3.1730 3.1730 9.6977 Å, 80.58 80.58 60.00°
Last column: nearest neighbours and their distance in Å.
Sites, in units of the cell vectors:
Si: 0.5000 0.5000 0.5000  6 Br 2.93, 6 Si 3.17
Br: 0.9133 0.9133 0.2601  1 Ta 2.48
Br: 0.0867 0.0867 0.7399  1 Ta 2.48
Ta: 0.0000 0.0000 0.0000  2 Br 2.48

## Properties
Its space-group type is R-3m, No. 166. The value obtained for the total moment is 0.000 μB/f.u. The value obtained for the volume is 20.76 A^3/atom. The energy relative to the lowest polymorph listed for this composition comes out at 0 meV/atom. The energy relative to the elements, uncorrected is 0.612 eV/atom. The calculated density comes out at 7.38 g/cm³. For the total energy, the calculation gives -113.070 eV/cell.


VASP calculation (SCAN) on a PBEsol-optimized structure of Ta2SiBr.

Cell: 3.3413 3.3470 6.1391 Å, 90.00 90.00 90.00°
Last column: nearest neighbours and their distance in Å.
Sites, in units of the cell vectors:
Br: 0.0000 0.0000 0.4858  5 Ta 2.77-2.90, 4 Si 3.07
Si: 0.5000 0.5000 0.8054  5 Ta 2.54-2.74
Ta: 0.0000 0.0000 0.9575  4 Si 2.54
Ta: 0.5000 0.5000 0.2513  1 Si 2.74, 4 Br 2.77, 4 Ta 2.97

## Properties
Its space-group type is P4mm, No. 99. The value obtained for the total moment is 0.000 μB/f.u. The value obtained for the volume is 17.16 A^3/atom. The energy relative to the lowest polymorph listed for this composition comes out at 0 meV/atom. The energy relative to the elements, uncorrected is 0.197 eV/atom. The calculated density comes out at 11.36 g/cm³. For the total energy, the calculation gives -161.854 eV/cell.


VASP calculation (SCAN) on a PBEsol-optimized structure of Ta2SiBr.

Cell: 2.8949 4.6240 5.5489 Å, 103.63 90.00 108.24°
Last column: nearest neighbours and their distance in Å.
Sites, in units of the cell vectors:
Br: 0.5000 0.0000 0.0000  6 Ta 2.78-2.88, 2 Br 2.89
Si: 0.0000 0.0000 0.5000  6 Ta 2.63-2.87, 2 Si 2.89
Ta: 0.7424 0.4848 0.7333  3 Si 2.63-2.87, 3 Br 2.78-2.88, 2 Ta 2.89
Ta: 0.2576 0.5152 0.2667  3 Si 2.63-2.87, 3 Br 2.78-2.88, 2 Ta 2.89

## Properties
Its space-group type is C2/m, No. 12. The value obtained for the total moment is 0.000 μB/f.u. The value obtained for the volume is 17.08 A^3/atom. The energy relative to the lowest polymorph listed for this composition comes out at 233 meV/atom. The energy relative to the elements, uncorrected is 0.430 eV/atom. The calculated density comes out at 11.42 g/cm³. For the total energy, the calculation gives -160.923 eV/cell.


VASP calculation (SCAN) on a PBEsol-optimized structure of Ta2SiBr.

Cell: 3.1443 4.7577 4.8848 Å, 104.66 108.77 90.00°
Last column: nearest neighbours and their distance in Å.
Sites, in units of the cell vectors:
Br: 0.5037 0.5285 0.0074  5 Ta 2.69-2.73, 2 Si 3.00
Si: 0.7388 0.1841 0.4776  5 Ta 2.61-2.76
Ta: 0.0055 0.0716 0.0110  3 Si 2.61-2.66, 2 Br 2.69
Ta: 0.2520 0.7158 0.5040  3 Br 2.71-2.73, 4 Si 2.76-2.95, 2 Ta 2.95

## Properties
Its space-group type is Cm, No. 8. The value obtained for the total moment is 0.000 μB/f.u. The value obtained for the volume is 16.67 A^3/atom. The energy relative to the lowest polymorph listed for this composition comes out at 126 meV/atom. The energy relative to the elements, uncorrected is 0.323 eV/atom. The calculated density comes out at 11.70 g/cm³. For the total energy, the calculation gives -161.350 eV/cell.


VASP calculation (SCAN) on a PBEsol-optimized structure of Ta2SiBr.

Cell: 2.9602 2.9602 9.0369 Å, 90.00 90.00 106.70°
Last column: nearest neighbours and their distance in Å.
Sites, in units of the cell vectors:
Br: 0.0000 0.0000 0.5364  2 Ta 2.65, 4 Br 2.96
Si: 0.5000 0.5000 0.2095  2 Ta 2.59
Ta: 0.0000 0.0000 0.9994  2 Si 2.59, 2 Ta 2.83
Ta: 0.5000 0.5000 0.7546  2 Br 2.65, 6 Ta 2.83-2.96

## Properties
Its space-group type is Cmm2, No. 35. The value obtained for the total moment is 0.000 μB/f.u. The value obtained for the volume is 18.96 A^3/atom. The energy relative to the lowest polymorph listed for this composition comes out at 7 meV/atom. The energy relative to the elements, uncorrected is 0.204 eV/atom. The calculated density comes out at 10.29 g/cm³. For the total energy, the calculation gives -161.825 eV/cell.


Question: total moment of number 7 (Ta2SiBr)?
Answer: 0.000 μB/f.u.